The following is a DFT calculation (GGA-PBEsol) of SiBiAs2 after structural relaxation.

Lattice parameters (Å, degrees): 6.9193 6.9193 6.9193 90.00 90.00 90.00
Space group Fm-3m (No. 225)
Inequivalent atoms, fractional coordinates:
Si 0.0000 0.0000 0.0000 [4 per cell]
Bi 0.0000 0.0000 0.5000 [4 per cell]
As 0.2500 0.2500 0.2500 [8 per cell]

Computed properties:
Total moment   0.00 μB/atom
Uncorrected formation energy   0.421 eV per atom
Density of states at the Fermi level   2.0 states/eV/f.u.



The following is a DFT calculation (GGA-PBEsol) of SrSi2BiAs after structural relaxation.

Lattice parameters (Å, degrees): 4.8607 4.8607 5.6803 90.00 90.00 90.00
Space group P4/mmm (No. 123)
Inequivalent atoms, fractional coordinates:
Sr 0.0000 0.0000 0.0000 [1 per cell]
Si 0.0000 0.5000 0.5000 [2 per cell]
Bi 0.5000 0.5000 0.0000 [1 per cell]
As 0.0000 0.0000 0.5000 [1 per cell]

Computed properties:
Total moment   0.00 μB/atom
Uncorrected formation energy   0.261 eV per atom
Density of states at the Fermi level   2.2 states/eV/f.u.



The following is a DFT calculation (GGA-PBEsol) of SnBi2As2 after structural relaxation.

Lattice parameters (Å, degrees): 3.8711 3.8711 17.2810 90.00 90.00 90.00
Space group I4/mmm (No. 139)
Inequivalent atoms, fractional coordinates:
Sn 0.0000 0.0000 0.0000 [2 per cell]
Bi 0.0000 0.0000 0.3972 [4 per cell]
As 0.0000 0.5000 0.2500 [4 per cell]

Computed properties:
Formation enthalpy at 0 K   0.155 eV per atom
Total moment   0.00 μB/atom
Density of states at the Fermi level   3.3 states/eV/f.u.



The following is a DFT calculation (GGA-PBEsol) of Sr2BiAs after structural relaxation.

Lattice parameters (Å, degrees): 7.8807 7.8807 7.8807 90.00 90.00 90.00
Space group Fm-3m (No. 225)
Inequivalent atoms, fractional coordinates:
Sr 0.2500 0.2500 0.2500 [8 per cell]
Bi 0.0000 0.0000 0.0000 [4 per cell]
As 0.0000 0.0000 0.5000 [4 per cell]

Computed properties:
Formation enthalpy at 0 K   -0.752 eV per atom
Total moment   0.00 μB/atom
Density of states at the Fermi level   3.5 states/eV/f.u.



The following is a DFT calculation (GGA-PBEsol) of Sr2BiAs2 after structural relaxation.

Lattice parameters (Å, degrees): 8.0845 8.0845 4.2638 90.00 90.00 90.00
Space group P4/mbm (No. 127)
Inequivalent atoms, fractional coordinates:
Sr 0.1522 0.3478 0.0000 [4 per cell]
Bi 0.0000 0.0000 0.5000 [2 per cell]
As 0.1534 0.6534 0.5000 [4 per cell]

Computed properties:
Formation enthalpy at 0 K   -0.837 eV per atom
Total moment   0.00 μB/atom
Density of states at the Fermi level   4.4 states/eV/f.u.



The following is a DFT calculation (GGA-PBEsol) of SrBiAs3 after structural relaxation.

Lattice parameters (Å, degrees): 5.3919 5.3919 5.3919 90.00 90.00 90.00
Space group Pm-3m (No. 221)
Inequivalent atoms, fractional coordinates:
Sr 0.0000 0.0000 0.0000 [1 per cell]
Bi 0.5000 0.5000 0.5000 [1 per cell]
As 0.0000 0.5000 0.5000 [3 per cell]

Computed properties:
Formation enthalpy at 0 K   0.302 eV per atom
Total moment   0.00 μB/atom
Density of states at the Fermi level   5.4 states/eV/f.u.



The following is a DFT calculation (GGA-PBEsol) of SrZn2BiAs after structural relaxation.

Lattice parameters (Å, degrees): 5.0928 5.0928 6.3842 90.00 90.00 90.00
Space group P4/mmm (No. 123)
Inequivalent atoms, fractional coordinates:
Sr 0.0000 0.0000 0.0000 [1 per cell]
Zn 0.0000 0.5000 0.5000 [2 per cell]
Bi 0.0000 0.0000 0.5000 [1 per cell]
As 0.5000 0.5000 0.0000 [1 per cell]

Computed properties:
Formation enthalpy at 0 K   0.399 eV per atom
Total moment   0.11 μB/atom
Density of states at the Fermi level   4.9 states/eV/f.u.



The following is a DFT calculation (GGA-PBEsol) of Sr2ZrBiAs after structural relaxation.

Lattice parameters (Å, degrees): 6.1361 6.1361 5.4382 90.00 90.00 90.00
Space group P4/mmm (No. 123)
Inequivalent atoms, fractional coordinates:
Sr 0.0000 0.5000 0.0000 [2 per cell]
Zr 0.0000 0.0000 0.5000 [1 per cell]
Bi 0.5000 0.5000 0.0000 [1 per cell]
As 0.5000 0.5000 0.5000 [1 per cell]

Computed properties:
Formation enthalpy at 0 K   0.738 eV per atom
Total moment   0.57 μB/atom
Density of states at the Fermi level   5.7 states/eV/f.u.